First-principles (PBE) data for crystalline TaNiMoH at its relaxed geometry, as listed in the Alexandria database.

abc: 3.3497 3.2224 9.4703
angles: 90.00 109.47 90.00
Atoms (fractional coordinates):
Mo: 0.8245 0.0000 0.2080
Mo: 0.8245 0.5000 0.7080
Ta: 0.1912 0.0000 0.5281
Ta: 0.1912 0.5000 0.0281
Ni: 0.5754 0.0000 0.8933
Ni: 0.5754 0.5000 0.3933
H: 0.1493 0.0000 0.7334
H: 0.1493 0.5000 0.2334

Properties
Total magnetization (μB per formula unit): 0.00
Electronic total energy (eV/f.u.): -31.6